This record from Alexandria via LeMat-Bulk describes an optimized crystal structure of KThHg2I6. The functional is PBE.

Values from the calculation:
ΔE_f (raw)   -0.86 eV/atom
Space group   No. 146
Fermi-level density of states   6.6 states/eV/cell
Spin magnetization   0.00 μB per formula unit

abc: 8.3144 8.3157 9.7380
angles: 89.99 115.27 119.99
With the nearest neighbours (Å) after each atom.
Fractional positions:
I 0.4296 0.1010 0.1488  1 Th 3.07, 1 Hg 3.34
I 0.8322 0.6095 0.7268  1 Th 3.11, 1 Hg 3.31
Th 0.9675 0.9832 0.9367  6 I 3.07-3.11
I 0.1312 0.2213 0.7265  1 Th 3.11, 1 Hg 3.31
I 0.8353 0.7334 0.1488  1 Th 3.07, 1 Hg 3.35
K 0.9798 0.4894 0.4550  6 I 3.67-3.72
Hg 0.6163 0.3076 0.9099  6 I 3.31-3.35
I 0.0617 0.3276 0.1485  1 Th 3.07, 1 Hg 3.34
I 0.5193 0.9088 0.7267  1 Th 3.10, 1 Hg 3.31
Hg 0.5928 0.7958 0.3749  6 I 3.74-3.92